## Mn2NbWO (GGA-PBEsol)

Data for a geometry-optimized Mn2NbWO structure.

a b c (Å): 4.5063 4.5063 4.8689
angles (deg): 90.00 90.00 90.00
Element x y z (fractional)
Mn  0.0000  0.5000  0.0000
Mn  0.5000  0.0000  0.0000
Nb  0.0000  0.0000  0.5000
W  0.0000  0.0000  0.0000
O  0.5000  0.5000  0.5000

Values from the calculation:
* symmetry: P4/mmm (123)
* raw total energy: -7.943 eV per atom
* magnetic moment: 6.32 μB per cell
* formation energy without anion corrections: 1.9373 eV/atom

***

## Ni2S3O12 (GGA-PBEsol)

Data for a geometry-optimized Ni2S3O12 structure.

a b c (Å): 8.5972 8.5972 8.5972
angles (deg): 55.04 55.04 55.04
Element x y z (fractional)
Ni  0.1422  0.1422  0.1422
Ni  0.3448  0.3448  0.3448
Ni  0.6552  0.6552  0.6552
Ni  0.8578  0.8578  0.8578
S  0.0439  0.4593  0.7416
S  0.2584  0.9561  0.5407
S  0.4593  0.7416  0.0439
S  0.5407  0.2584  0.9561
S  0.7416  0.0439  0.4593
S  0.9561  0.5407  0.2584
O  0.0254  0.6113  0.7857
O  0.1291  0.8681  0.7492
O  0.1319  0.2508  0.8709
O  0.1624  0.5288  0.2077
O  0.1739  0.4984  0.5214
O  0.2077  0.1624  0.5288
O  0.2143  0.9746  0.3887
O  0.2508  0.8709  0.1319
O  0.3887  0.2143  0.9746
O  0.4712  0.7923  0.8376
O  0.4786  0.8261  0.5016
O  0.4984  0.5214  0.1739
O  0.5016  0.4786  0.8261
O  0.5214  0.1739  0.4984
O  0.5288  0.2077  0.1624
O  0.6113  0.7857  0.0254
O  0.7492  0.1291  0.8681
O  0.7857  0.0254  0.6113
O  0.7923  0.8376  0.4712
O  0.8261  0.5016  0.4786
O  0.8376  0.4712  0.7923
O  0.8681  0.7492  0.1291
O  0.8709  0.1319  0.2508
O  0.9746  0.3887  0.2143

Values from the calculation:
* symmetry: R-3 (148)
* raw total energy: -6.300 eV per atom
* magnetic moment: 3.92 μB per cell
* excess energy over the best structure of this formula in the dataset: 0 meV/atom
* formation energy without anion corrections: -1.0969 eV/atom

***

## Mo4PSe (GGA-PBEsol)

Data for a geometry-optimized Mo4PSe structure.

a b c (Å): 5.1537 5.1537 5.1537
angles (deg): 60.00 60.00 60.00
Element x y z (fractional)
Mo  0.1243  0.1243  0.1243
Mo  0.1243  0.1243  0.6271
Mo  0.1243  0.6271  0.1243
Mo  0.6271  0.1243  0.1243
P  0.5000  0.5000  0.5000
Se  0.7500  0.7500  0.7500

Values from the calculation:
* symmetry: F-43m (216)
* raw total energy: -8.776 eV per atom
* magnetic moment: 0.00 μB per cell
* formation energy without anion corrections: 0.6763 eV/atom